# 1
Entry from Alexandria: a geometry-optimized TmPu2Zn2Si2 structure (PBE-GGA).

a = 3.9990 Å, b = 3.9990 Å, c = 26.5904 Å
α = 90.00°, β = 90.00°, γ = 120.00°
Space group R-3m (No. 166, hexagonal axes)
One atom of each set of equivalent atoms:
Tm 0.0000 0.0000 0.0000 [3 per cell]
Pu 0.0000 0.0000 0.1503 [6 per cell]
Zn 0.0000 0.0000 0.4048 [6 per cell]
Si 0.0000 0.0000 0.2591 [6 per cell]

Output
Total energy in eV/atom: -6.901
ρ in g/cm³: 11.4

***

# 2
Entry from Alexandria: a geometry-optimized In2GaCuI structure (PBE-GGA).

a = 5.3231 Å, b = 5.3231 Å, c = 4.8224 Å
α = 90.00°, β = 90.00°, γ = 90.00°
Space group P4/mmm (No. 123)
One atom of each set of equivalent atoms:
In 0.0000 0.5000 0.0000 [2 per cell]
Ga 0.0000 0.0000 0.5000 [1 per cell]
Cu 0.0000 0.0000 0.0000 [1 per cell]
I 0.5000 0.5000 0.5000 [1 per cell]

Output
Total energy in eV/atom: -2.897
ρ in g/cm³: 6.0

***

# 3
Entry from Alexandria: a geometry-optimized Th3CoSb2 structure (PBE-GGA).

a = 12.6241 Å, b = 4.2426 Å, c = 12.0492 Å
α = 90.00°, β = 90.00°, γ = 90.00°
Space group Pnma (No. 62)
One atom of each set of equivalent atoms:
Th 0.0525 0.2500 0.1185 [4 per cell]
Th 0.1182 0.7500 0.5487 [4 per cell]
Th 0.2361 0.2500 0.7771 [4 per cell]
Co 0.1263 0.2500 0.3634 [4 per cell]
Sb 0.0103 0.7500 0.3065 [4 per cell]
Sb 0.1948 0.7500 0.9871 [4 per cell]

Output
E above lowest polymorph in kJ/mol of formula units: 0
ρ in g/cm³: 10.3

***

# 4
Entry from Alexandria: a geometry-optimized YPt3Pb structure (PBE-GGA).

a = 5.0393 Å, b = 5.0393 Å, c = 5.0393 Å
α = 90.00°, β = 90.00°, γ = 90.00°
Space group Pm-3m (No. 221)
One atom of each set of equivalent atoms:
Y 0.0000 0.0000 0.0000 [1 per cell]
Pt 0.0000 0.5000 0.5000 [3 per cell]
Pb 0.5000 0.5000 0.5000 [1 per cell]

Output
E above lowest polymorph in kJ/mol of formula units: 0
DFT formation energy in meV per atom: 308
ρ in g/cm³: 11.4

***

# 5
Entry from Alexandria: a geometry-optimized TiInTe2N structure (PBE-GGA).

a = 5.7446 Å, b = 5.7446 Å, c = 3.7276 Å
α = 90.00°, β = 90.00°, γ = 90.00°
Space group P4/mmm (No. 123)
One atom of each set of equivalent atoms:
Ti 0.0000 0.0000 0.0000 [1 per cell]
In 0.5000 0.5000 0.5000 [1 per cell]
Te 0.0000 0.5000 0.0000 [2 per cell]
N 0.0000 0.0000 0.5000 [1 per cell]

Output
E above lowest polymorph in kJ/mol of formula units: 0
ρ in g/cm³: 5.8

***

# 6
Entry from Alexandria: a geometry-optimized Pr12Y2Tm5 structure (PBE-GGA).

a = 18.1192 Å, b = 11.7827 Å, c = 6.2595 Å
α = 90.00°, β = 102.43°, γ = 90.00°
Space group C2/m (No. 12)
One atom of each set of equivalent atoms:
Pr 0.0575 0.0000 0.2739 [4 per cell]
Pr 0.1044 0.2535 0.6143 [8 per cell]
Pr 0.1216 0.5000 0.0016 [4 per cell]
Pr 0.1971 0.2407 0.1979 [8 per cell]
Y 0.0000 0.2700 0.0000 [4 per cell]
Tm 0.0000 0.5000 0.5000 [2 per cell]
Tm 0.1778 0.0000 0.8590 [4 per cell]
Tm 0.2163 0.5000 0.5520 [4 per cell]

Output
E above lowest polymorph in kJ/mol of formula units: 0
DFT formation energy in meV per atom: 101
ρ in g/cm³: 6.9